1.
Here is a relaxed structure of TmZrAgAu from Alexandria. Energies are from PBE-GGA.

Values from the calculation:
The total moment is 0.93 Bohr magnetons per cell. Its space group is F-43m. The formation enthalpy at 0 K comes out at -1.5 eV per formula unit. For the density of states at the Fermi level, the calculation gives 1.27 states/eV per atom. Its calculated density is 10.91 g/cm3. The total energy comes out at -5.1541 eV per atom.

abc: 4.9540 4.9540 4.9540
angles: 60.00 60.00 60.00
Closest atoms and distances in Å follow each position.
Element x y z (fractional)
Au 0.7500 0.7500 0.7500  4 Zr 3.03, 4 Tm 3.03
Tm 0.0000 0.0000 0.0000  4 Ag 3.03, 4 Au 3.03
Ag 0.2500 0.2500 0.2500  4 Zr 3.03, 4 Tm 3.03
Zr 0.5000 0.5000 0.5000  4 Au 3.03, 4 Ag 3.03

2.
Here is a relaxed structure of UAgAu2 from Alexandria. Energies are from PBE-GGA.

Values from the calculation:
The total moment is 3.15 Bohr magnetons per cell. Its space group is P4/mmm. The formation enthalpy at 0 K comes out at 0.1 eV per formula unit. For the density of states at the Fermi level, the calculation gives 1.38 states/eV per atom. Its calculated density is 14.74 g/cm3. The total energy comes out at -5.1593 eV per atom.

abc: 2.9613 5.3056 5.3056
angles: 90.00 90.00 90.00
Closest atoms and distances in Å follow each position.
Element x y z (fractional)
U 0.5000 0.0000 0.0000  2 U 2.96, 8 Au 3.04
Au 0.0000 0.0000 0.5000  2 Au 2.96, 4 U 3.04, 4 Ag 3.04
Au 0.0000 0.5000 0.0000  2 Au 2.96, 4 U 3.04, 4 Ag 3.04
Ag 0.5000 0.5000 0.5000  2 Ag 2.96, 8 Au 3.04

3.
Here is a relaxed structure of UAg2Au6 from Alexandria. Energies are from PBE-GGA.

Values from the calculation:
The total moment is 5.12 Bohr magnetons per cell. Its space group is C2/c. The formation enthalpy at 0 K comes out at -0.3 eV per formula unit. For the density of states at the Fermi level, the calculation gives 1.05 states/eV per atom. Its calculated density is 15.45 g/cm3. The total energy comes out at -4.1051 eV per atom.

abc: 5.0661 8.5816 8.5815
angles: 72.86 82.30 82.30
Closest atoms and distances in Å follow each position.
Element x y z (fractional)
Au 0.6452 0.1046 0.3590  4 Ag 2.90-2.97, 5 Au 2.90-2.94, 1 U 3.16
Au 0.0352 0.5668 0.3249  5 Au 2.84-3.03, 4 Ag 2.89-2.97, 1 U 2.99
Au 0.9648 0.4332 0.6751  5 Au 2.84-3.03, 4 Ag 2.89-2.97, 1 U 2.99
Au 0.4648 0.6751 0.4332  5 Au 2.84-3.03, 4 Ag 2.89-2.97, 1 U 2.99
Au 0.3548 0.8954 0.6410  4 Ag 2.90-2.97, 5 Au 2.90-2.94, 1 U 3.16
Au 0.8043 0.9988 0.7545  2 Ag 2.93-2.95, 4 Au 2.93-3.03, 3 U 3.03-3.05
Au 0.8548 0.6410 0.8954  4 Ag 2.90-2.97, 5 Au 2.90-2.94, 1 U 3.16
Au 0.6957 0.2455 0.0012  2 Ag 2.93-2.95, 4 Au 2.93-3.03, 3 U 3.03-3.05
Au 0.1452 0.3590 0.1046  4 Ag 2.90-2.97, 5 Au 2.90-2.94, 1 U 3.16
Au 0.1957 0.0012 0.2455  2 Ag 2.93-2.95, 4 Au 2.93-3.03, 3 U 3.03-3.05
Au 0.5352 0.3249 0.5668  5 Au 2.84-3.03, 4 Ag 2.89-2.97, 1 U 2.99
Au 0.3043 0.7545 0.9988  2 Ag 2.93-2.95, 4 Au 2.93-3.03, 3 U 3.03-3.05
Ag 0.0928 0.2113 0.4652  10 Au 2.89-2.97
Ag 0.4072 0.5348 0.7887  10 Au 2.89-2.97
Ag 0.9072 0.7887 0.5348  10 Au 2.89-2.97
Ag 0.5928 0.4652 0.2113  10 Au 2.89-2.97
U 0.7500 0.8738 0.1262  10 Au 2.99-3.16
U 0.2500 0.1262 0.8738  10 Au 2.99-3.16

4.
Here is a relaxed structure of UAgAu2 from Alexandria. Energies are from PBE-GGA.

Values from the calculation:
The total moment is 2.79 Bohr magnetons per cell. Its space group is P4/mmm. The formation enthalpy at 0 K comes out at -0.3 eV per formula unit. For the density of states at the Fermi level, the calculation gives 1.63 states/eV per atom. Its calculated density is 15.28 g/cm3. The total energy comes out at -5.2469 eV per atom.

abc: 3.1807 3.1807 7.9496
angles: 90.00 90.00 90.00
Closest atoms and distances in Å follow each position.
Element x y z (fractional)
Ag 0.5000 0.5000 0.0000  8 Au 2.92, 4 Ag 3.18
Au 0.0000 0.0000 0.7659  4 Ag 2.92, 4 U 3.09, 4 Au 3.18
Au 0.0000 0.0000 0.2341  4 Ag 2.92, 4 U 3.09, 4 Au 3.18
U 0.5000 0.5000 0.5000  8 Au 3.09, 4 U 3.18

5.
Here is a relaxed structure of UAg2Au8 from Alexandria. Energies are from PBE-GGA.

Values from the calculation:
The total moment is 2.67 Bohr magnetons per cell. Its space group is C2/m. The formation enthalpy at 0 K comes out at -0.8 eV per formula unit. For the density of states at the Fermi level, the calculation gives 0.76 states/eV per atom. Its calculated density is 16.04 g/cm3. The total energy comes out at -3.9979 eV per atom.

abc: 4.2748 6.5906 7.9797
angles: 103.52 105.54 90.00
Closest atoms and distances in Å follow each position.
Element x y z (fractional)
Au 0.0455 0.7201 0.0909  9 Au 2.90-3.09, 1 Ag 2.95, 2 U 3.01
Au 0.8604 0.8101 0.7209  3 Ag 2.91-3.01, 7 Au 2.95-3.08, 2 U 3.07
Au 0.6852 0.9181 0.3705  3 Ag 2.93-3.00, 8 Au 2.94-3.09, 1 U 3.02
Au 0.1396 0.1899 0.2791  3 Ag 2.91-3.01, 7 Au 2.95-3.08, 2 U 3.07
Au 0.3148 0.0819 0.6295  3 Ag 2.93-3.00, 8 Au 2.94-3.09, 1 U 3.02
Au 0.4035 0.5368 0.8069  3 Ag 2.95-2.96, 8 Au 2.95-3.12, 1 U 3.05
Au 0.9545 0.2799 0.9091  9 Au 2.90-3.09, 1 Ag 2.95, 2 U 3.01
Au 0.5965 0.4632 0.1931  3 Ag 2.95-2.96, 8 Au 2.95-3.12, 1 U 3.05
Ag 0.7747 0.3647 0.5494  10 Au 2.91-3.01, 2 Ag 3.00
Ag 0.2253 0.6353 0.4506  10 Au 2.91-3.01, 2 Ag 3.00
U 0.5000 0.0000 0.0000  12 Au 3.01-3.07

6.
Here is a relaxed structure of UAgAu from Alexandria. Energies are from PBE-GGA.

Values from the calculation:
The total moment is 2.75 Bohr magnetons per cell. Its space group is P-6m2. The formation enthalpy at 0 K comes out at -0.1 eV per formula unit. For the density of states at the Fermi level, the calculation gives 2.18 states/eV per atom. Its calculated density is 14.48 g/cm3. The value obtained for the energy above the most stable polymorph in this dataset is 0.0 meV per atom. The total energy comes out at -5.8307 eV per atom.

abc: 2.9788 4.9126 4.9126
angles: 120.00 90.00 90.00
Closest atoms and distances in Å follow each position.
Element x y z (fractional)
U 0.6668 0.3333 0.6667  2 U 2.98, 6 Au 3.20, 6 Ag 3.20
Au 0.1663 0.6667 0.3333  3 Ag 2.84, 2 Au 2.98
Ag 0.1670 0.0000 0.0000  3 Au 2.84, 2 Ag 2.98

7.
Here is a relaxed structure of UAgAu from Alexandria. Energies are from PBE-GGA.

Values from the calculation:
The total moment is 0.00 Bohr magnetons per cell. Its space group is R-3m. The formation enthalpy at 0 K comes out at 0.4 eV per formula unit. For the density of states at the Fermi level, the calculation gives 0.83 states/eV per atom. Its calculated density is 13.80 g/cm3. The value obtained for the energy above the most stable polymorph in this dataset is 147.5 meV per atom. The total energy comes out at -5.6832 eV per atom.

abc: 3.6412 3.6412 11.5701
angles: 80.95 80.95 60.00
Closest atoms and distances in Å follow each position.
Element x y z (fractional)
Ag 0.8609 0.8609 0.4174  3 Ag 2.82, 3 Au 2.83
Ag 0.1391 0.1391 0.5826  3 Ag 2.82, 3 Au 2.83
Au 0.5828 0.5828 0.2515  3 Ag 2.83, 3 U 3.01
Au 0.4172 0.4172 0.7485  3 Ag 2.83, 3 U 3.01
U 0.6876 0.6876 0.9372  3 U 2.54
U 0.3124 0.3124 0.0628  3 U 2.54

8.
Here is a relaxed structure of UAgAu from Alexandria. Energies are from PBE-GGA.

Values from the calculation:
The total moment is 2.55 Bohr magnetons per cell. Its space group is I4mm. The formation enthalpy at 0 K comes out at 0.2 eV per formula unit. For the density of states at the Fermi level, the calculation gives 1.92 states/eV per atom. Its calculated density is 15.02 g/cm3. The value obtained for the energy above the most stable polymorph in this dataset is 107.1 meV per atom. The total energy comes out at -5.7236 eV per atom.

abc: 2.9259 2.9259 7.3077
angles: 101.55 101.55 90.00
Closest atoms and distances in Å follow each position.
Element x y z (fractional)
U 0.0027 0.0027 0.0055  4 U 2.93, 4 Au 3.16, 4 Ag 3.25
Ag 0.3244 0.3244 0.6488  4 Ag 2.93, 4 Au 2.97, 4 U 3.25
Au 0.6729 0.6729 0.3457  4 Au 2.93, 4 Ag 2.97, 4 U 3.16

Q: Which of these has the lowest formation enthalpy at 0 K?
A: TmZrAgAu

Q: Which value of calculated density does entry 1 give?
A: 10.91 g/cm3

Q: Which of these has the highest formation enthalpy at 0 K?
A: number 7